Record 1
TmHI2: optimized geometry, GGA-PBE.

## Properties
VASP energy = -0.1374 hartree per atom
Crystal system = monoclinic
SG = C2/m, No. 12

Cell lengths 8.3785, 8.3785, 4.2263 Å; angles 104.54, 104.54, 29.42 degrees
With the nearest neighbours (Å) after each atom.
Atoms (fractional coordinates):
Tm  0.0000  0.0000  0.0000  2 H 2.11
H  0.0000  0.0000  0.5000  2 Tm 2.11
I  0.3652  0.3652  0.8650  2 Tm 3.00
I  0.6348  0.6348  0.1350  2 Tm 3.00

---

Record 2
KPuIn2O8: optimized geometry, GGA-PBE.

## Properties
ΔE_f (raw) = -1.514 eV/atom
Crystal system = monoclinic
SG = P2/m, No. 10

Cell lengths 4.6560, 7.0317, 5.3614 Å; angles 90.00, 90.12, 90.00 degrees
With the nearest neighbours (Å) after each atom.
Atoms (fractional coordinates):
K  0.0000  0.0000  0.0000  6 O 2.54-2.76
Pu  0.0000  0.5000  0.0000  4 O 1.91
In  0.5000  0.2587  0.5000  6 O 2.19-2.29
In  0.5000  0.7413  0.5000  6 O 2.19-2.29
O  0.2304  0.3069  0.8505  1 Pu 1.91
O  0.2304  0.6931  0.8505  1 Pu 1.91
O  0.2416  0.0000  0.4695  2 In 2.19, 2 O 2.27-2.43
O  0.2682  0.5000  0.3343  1 Pu 2.18, 2 In 2.20
O  0.7318  0.5000  0.6657  1 Pu 2.18, 2 In 2.20
O  0.7584  0.0000  0.5305  2 In 2.19, 2 O 2.27-2.43
O  0.7696  0.3069  0.1495  1 Pu 1.91
O  0.7696  0.6931  0.1495  1 Pu 1.91

---

Record 3
Lu2ThSe: optimized geometry, GGA-PBE.

## Properties
ΔE_f (raw) = -0.664 eV/atom
Crystal system = tetragonal
SG = P4/mmm, No. 123

Cell lengths 3.5650, 3.5650, 8.3271 Å; angles 90.00, 90.00, 90.00 degrees
With the nearest neighbours (Å) after each atom.
Atoms (fractional coordinates):
Lu  0.0000  0.0000  0.2103  4 Se 3.07
Lu  0.0000  0.0000  0.7897  4 Se 3.07
Th  0.5000  0.5000  0.5000  8 Lu 3.49, 4 Th 3.57
Se  0.5000  0.5000  0.0000  8 Lu 3.07

---

Record 4
Li3YMg4: optimized geometry, GGA-PBE.

## Properties
Crystal system = tetragonal
SG = P4/mmm, No. 123
Formation energy from the elements = -62 meV per atom

Cell lengths 3.4913, 3.4913, 14.5765 Å; angles 90.00, 90.00, 90.00 degrees
With the nearest neighbours (Å) after each atom.
Atoms (fractional coordinates):
Li  0.0000  0.0000  0.0000  8 Mg 2.98
Li  0.0000  0.0000  0.2320  8 Mg 2.97-3.01
Li  0.0000  0.0000  0.7680  8 Mg 2.97-3.01
Y  0.0000  0.0000  0.5000  8 Mg 3.35, 4 Y 3.49
Mg  0.5000  0.5000  0.1139  8 Li 2.98-3.01, 1 Mg 3.32
Mg  0.5000  0.5000  0.3449  4 Li 2.97
Mg  0.5000  0.5000  0.6551  4 Li 2.97
Mg  0.5000  0.5000  0.8861  8 Li 2.98-3.01, 1 Mg 3.32

---

Number 1: DOS at the Fermi energy 0.00 states/eV per atom. Number 2: DOS at the Fermi energy 0.61 states/eV per atom. Number 3: DOS at the Fermi energy 0.75 states/eV per atom. Number 4: DOS at the Fermi energy 0.59 states/eV per atom.